Material: BaLaBr2
Method: DFT, PBE-GGA
State: optimized geometry

Energy (eV/cell): -15.57
Symmetry: No. 12
ΔE_f (raw) (eV/atom): -1.34

Unit cell a=5.2077 b=5.2077 c=7.0381 alpha=77.40 beta=77.40 gamma=44.77
Atoms (fractional coordinates):
La: 0.2500 0.2500 0.2500
Br: 0.5059 0.5059 0.4763
Br: 0.9941 0.9941 0.0237
Ba: 0.7500 0.7500 0.7500

---

Material: Cd6Hg2Au
Method: DFT, PBE-GGA
State: optimized geometry

Energy (eV/cell): -9.64
Symmetry: No. 38

Unit cell a=3.6022 b=8.1086 c=8.1167 alpha=119.97 beta=90.00 gamma=90.00
Atoms (fractional coordinates):
Cd: 0.0000 0.2793 0.0000
Cd: 0.5000 0.0000 0.6328
Cd: 0.0000 0.7209 0.7208
Cd: 0.5000 0.3672 0.3672
Cd: 0.5000 0.6326 0.0000
Cd: 0.0000 0.0001 0.2792
Au: 0.5000 0.0000 0.0000
Hg: 0.0000 0.3333 0.6666
Hg: 0.0000 0.6667 0.3334

---

Material: ScAlW2
Method: DFT, PBE-GGA
State: optimized geometry

Energy (eV/cell): -35.15
Symmetry: No. 47

Unit cell a=2.7431 b=4.4926 c=5.5324 alpha=90.00 beta=90.00 gamma=90.00
Atoms (fractional coordinates):
W: 0.0000 0.0000 0.4937
W: 0.0000 0.0000 0.0063
Al: 0.5000 0.5000 0.2500
Sc: 0.5000 0.5000 0.7500

---

Material: TmTlSeS
Method: DFT, PBE-GGA
State: optimized geometry

Energy (eV/cell): -20.12
Symmetry: No. 160
ΔE_f (raw) (eV/atom): -1.42

Unit cell a=4.0364 b=4.0365 c=8.1175 alpha=89.99 beta=104.40 gamma=120.01
Atoms (fractional coordinates):
Se: 0.5010 0.1486 0.6649
S: 0.0960 0.9458 0.0572
Tm: 0.3108 0.5533 0.8795
Tl: 0.9701 0.3832 0.3680

---

Material: LiIn3Pb
Method: DFT, PBE-GGA
State: optimized geometry

Energy (eV/cell): -56.96
Symmetry: No. 62

Unit cell a=4.5560 b=6.9577 c=16.3191 alpha=90.00 beta=90.00 gamma=90.00
Atoms (fractional coordinates):
In: 0.7500 0.8824 0.8607
In: 0.2500 0.6204 0.7465
In: 0.2500 0.1204 0.7535
In: 0.7500 0.3796 0.2535
In: 0.2500 0.6460 0.9522
In: 0.7500 0.8540 0.4522
In: 0.7500 0.3824 0.6393
In: 0.2500 0.1460 0.5478
In: 0.7500 0.8796 0.2465
In: 0.7500 0.3540 0.0478
In: 0.2500 0.6176 0.3607
In: 0.2500 0.1176 0.1393
Li: 0.7500 0.8745 0.0522
Li: 0.7500 0.3745 0.4478
Li: 0.2500 0.1255 0.9478
Li: 0.2500 0.6255 0.5522
Pb: 0.7500 0.3745 0.8490
Pb: 0.2500 0.6255 0.1510
Pb: 0.2500 0.1255 0.3490
Pb: 0.7500 0.8745 0.6510

---

Material: Pm4Te2PbSe
Method: DFT, PBE-GGA
State: optimized geometry

Energy (eV/cell): -43.08
Symmetry: No. 10
ΔE_f (raw) (eV/atom): -1.33

Unit cell a=4.4245 b=7.7287 c=7.6359 alpha=70.59 beta=90.00 gamma=90.00
Atoms (fractional coordinates):
Pb: 0.0000 0.5000 0.5000
Pm: 0.5000 0.7390 0.2467
Pm: 0.0000 0.7301 0.7643
Pm: 0.0000 0.2699 0.2357
Pm: 0.5000 0.2610 0.7533
Se: 0.5000 0.5000 0.0000
Te: 0.5000 0.0000 0.5000
Te: 0.0000 0.0000 0.0000

---

Material: PaGaCl6
Method: DFT, PBE-GGA
State: optimized geometry

Energy (eV/cell): -36.37
Symmetry: No. 12
ΔE_f (raw) (eV/atom): -1.60

Unit cell a=7.0614 b=7.0614 c=7.0415 alpha=97.60 beta=97.60 gamma=119.65
Atoms (fractional coordinates):
Ga: 0.0000 0.0000 0.0000
Pa: 0.5000 0.5000 0.5000
Cl: 0.7361 0.7361 0.2814
Cl: 0.5668 0.8558 0.7234
Cl: 0.8558 0.5668 0.7234
Cl: 0.1442 0.4332 0.2766
Cl: 0.2639 0.2639 0.7186
Cl: 0.4332 0.1442 0.2766

---

Material: LaTaRe2
Method: DFT, PBE-GGA
State: optimized geometry

Energy (eV/cell): -39.38
Symmetry: No. 71

Unit cell a=5.5145 b=5.5145 c=5.5145 alpha=146.34 beta=125.03 gamma=66.02
Atoms (fractional coordinates):
Re: 0.9893 0.9893 0.0000
Re: 0.5107 0.5107 0.0000
Ta: 0.7500 0.2500 0.5000
La: 0.2500 0.7500 0.5000

---

Material: AsPBr2
Method: DFT, PBE-GGA
State: optimized geometry

Energy (eV/cell): -10.87
Symmetry: No. 71
ΔE_f (raw) (eV/atom): 0.63

Unit cell a=5.6668 b=5.6668 c=5.6668 alpha=145.99 beta=115.25 gamma=75.20
Atoms (fractional coordinates):
Br: 0.4819 0.4819 0.0000
Br: 0.0181 0.0181 0.0000
As: 0.7500 0.2500 0.5000
P: 0.2500 0.7500 0.5000

---

Material: Na4CdPb15
Method: DFT, PBE-GGA
State: optimized geometry

Energy (eV/cell): -63.51
Symmetry: No. 123

Unit cell a=4.9712 b=4.9712 c=24.2506 alpha=90.00 beta=90.00 gamma=90.00
Atoms (fractional coordinates):
Pb: 0.5000 0.0000 0.0984
Pb: 0.5000 0.5000 0.8015
Pb: 0.0000 0.5000 0.2995
Pb: 0.5000 0.5000 0.0000
Pb: 0.0000 0.5000 0.9016
Pb: 0.5000 0.5000 0.1985
Pb: 0.5000 0.5000 0.6001
Pb: 0.5000 0.0000 0.2995
Pb: 0.5000 0.0000 0.9016
Pb: 0.0000 0.5000 0.5000
Pb: 0.0000 0.5000 0.0984
Pb: 0.5000 0.0000 0.5000
Pb: 0.0000 0.5000 0.7005
Pb: 0.5000 0.5000 0.3999
Pb: 0.5000 0.0000 0.7005
Na: 0.0000 0.0000 0.5999
Na: 0.0000 0.0000 0.4001
Na: 0.0000 0.0000 0.1998
Na: 0.0000 0.0000 0.8002
Cd: 0.0000 0.0000 0.0000

---

Material: PuPdPb
Method: DFT, PBE-GGA
State: optimized geometry

Energy (eV/cell): -23.93
Symmetry: No. 107

Unit cell a=3.5093 b=3.5093 c=6.2853 alpha=106.21 beta=106.21 gamma=90.00
Last column: magnetic moment on the atom in μB.
Atoms (fractional coordinates):
Pd: 0.9467 0.9467 0.8934  0.00
Pu: 0.5994 0.5994 0.1988  5.43
Pb: 0.3039 0.3039 0.6078  0.00

---

Material: Ce3Cd2Hg3
Method: DFT, PBE-GGA
State: optimized geometry

Energy (eV/cell): -22.48
Symmetry: No. 71

Unit cell a=4.6785 b=4.8253 c=9.6428 alpha=104.49 beta=104.04 gamma=90.00
Last column: magnetic moment on the atom in μB.
Atoms (fractional coordinates):
Cd: 0.2526 0.7526 0.5053  0.00
Cd: 0.7474 0.2474 0.4947  0.00
Hg: 0.0000 0.5000 0.0000  0.01
Hg: 0.1366 0.1366 0.2732  0.00
Hg: 0.8634 0.8634 0.7268  0.00
Ce: 0.5000 0.0000 0.0000  1.00
Ce: 0.6230 0.6230 0.2459  0.90
Ce: 0.3770 0.3770 0.7541  0.90

---

Material: LiV4Te8
Method: DFT, PBE-GGA
State: optimized geometry

Energy (eV/cell): -68.32
Symmetry: No. 216
ΔE_f (raw) (eV/atom): -0.37

Unit cell a=7.8086 b=7.8086 c=7.8086 alpha=60.00 beta=60.00 gamma=60.00
Last column: magnetic moment on the atom in μB.
Atoms (fractional coordinates):
Te: 0.1639 0.6120 0.6120  -0.09
Te: 0.1186 0.1186 0.1186  -0.11
Te: 0.6442 0.1186 0.1186  -0.11
Te: 0.6120 0.6120 0.6120  -0.09
Te: 0.6120 0.6120 0.1639  -0.09
Te: 0.1186 0.1186 0.6442  -0.11
Te: 0.6120 0.1639 0.6120  -0.09
Te: 0.1186 0.6442 0.1186  -0.11
V: 0.9228 0.3591 0.3591  1.63
V: 0.3591 0.3591 0.3591  1.63
V: 0.3591 0.9228 0.3591  1.63
V: 0.3591 0.3591 0.9228  1.63
Li: 0.7500 0.7500 0.7500  0.00

---

Material: NaCdAg2F8
Method: DFT, PBE-GGA
State: optimized geometry

Energy (eV/cell): -41.54
Symmetry: No. 119
ΔE_f (raw) (eV/atom): -1.55

Unit cell a=5.4336 b=5.4336 c=6.6554 alpha=114.09 beta=114.09 gamma=90.00
Last column: magnetic moment on the atom in μB.
Atoms (fractional coordinates):
F: 0.3803 0.8656 0.2535  0.19
F: 0.6125 0.1268 0.7465  0.19
F: 0.1340 0.6197 0.7465  0.19
F: 0.8732 0.8660 0.2535  0.19
F: 0.3803 0.3875 0.2535  0.19
F: 0.8732 0.3879 0.2535  0.19
F: 0.1344 0.1268 0.7465  0.19
F: 0.6121 0.6197 0.7465  0.19
Na: 0.0000 0.0000 0.0000  0.00
Ag: 0.2500 0.7500 0.5000  0.70
Ag: 0.5000 0.5000 0.0000  0.70
Cd: 0.7500 0.2500 0.5000  0.00

---

Material: Y3InAu
Method: DFT, PBE-GGA
State: optimized geometry

Energy (eV/cell): -26.17
Symmetry: No. 221

Unit cell a=5.5004 b=5.5004 c=5.5004 alpha=90.00 beta=90.00 gamma=90.00
Atoms (fractional coordinates):
In: 0.5000 0.5000 0.5000
Au: 0.0000 0.0000 0.0000
Y: 0.0000 0.0000 0.5000
Y: 0.5000 0.0000 0.0000
Y: 0.0000 0.5000 0.0000

---

Material: Sc3Al2
Method: DFT, PBE-GGA
State: optimized geometry

Energy (eV/cell): -54.33
Symmetry: No. 63

Unit cell a=2.9794 b=4.8235 c=14.2711 alpha=90.00 beta=95.99 gamma=90.00
Atoms (fractional coordinates):
Sc: 0.8764 0.7500 0.7528
Sc: 0.1236 0.2500 0.2472
Sc: 0.1858 0.7500 0.3716
Sc: 0.0260 0.2500 0.0519
Sc: 0.9740 0.7500 0.9481
Sc: 0.8142 0.2500 0.6284
Al: 0.4258 0.2500 0.8516
Al: 0.7122 0.2500 0.4244
Al: 0.2878 0.7500 0.5756
Al: 0.5742 0.7500 0.1484

---

Material: Y4Ga2O
Method: DFT, PBE-GGA
State: optimized geometry

Energy (eV/cell): -45.15
Symmetry: No. 139
ΔE_f (raw) (eV/atom): -1.18

Unit cell a=4.5606 b=4.5606 c=8.5049 alpha=74.45 beta=74.45 gamma=90.00
Atoms (fractional coordinates):
Y: 0.0000 0.5000 0.0000
Y: 0.8248 0.8248 0.3505
Y: 0.1752 0.1752 0.6495
Y: 0.5000 0.0000 0.0000
Ga: 0.6355 0.6355 0.7291
Ga: 0.3645 0.3645 0.2709
O: 0.0000 0.0000 0.0000

---

Material: La4ZnTc
Method: DFT, PBE-GGA
State: optimized geometry

Energy (eV/cell): -64.30
Symmetry: No. 15

Unit cell a=6.4241 b=7.9398 c=7.9399 alpha=111.23 beta=100.22 gamma=100.22
Atoms (fractional coordinates):
La: 0.6042 0.2130 0.3721
La: 0.9541 0.0621 0.7224
La: 0.3958 0.7870 0.6279
La: 0.4541 0.7224 0.0621
La: 0.0459 0.9379 0.2776
La: 0.8958 0.6279 0.7870
La: 0.5459 0.2776 0.9379
La: 0.1042 0.3721 0.2130
Tc: 0.7500 0.9982 0.0018
Tc: 0.2500 0.0018 0.9982
Zn: 0.2500 0.3770 0.6230
Zn: 0.7500 0.6230 0.3770

---

Material: HfZrH
Method: DFT, PBE-GGA
State: optimized geometry

Energy (eV/cell): -89.73
Symmetry: No. 14

Unit cell a=5.4015 b=6.8230 c=6.1963 alpha=121.46 beta=90.00 gamma=90.00
Atoms (fractional coordinates):
Zr: 0.7106 0.3566 0.7325
Zr: 0.7894 0.3566 0.2325
Zr: 0.2894 0.6434 0.2675
Zr: 0.2106 0.6434 0.7675
H: 0.6553 0.6832 0.3608
H: 0.8447 0.6832 0.8608
H: 0.1553 0.3168 0.1392
H: 0.3447 0.3168 0.6392
Hf: 0.3046 0.1136 0.2569
Hf: 0.6954 0.8864 0.7431
Hf: 0.1954 0.1136 0.7569
Hf: 0.8046 0.8864 0.2431

---

Material: LaZnPdPb
Method: DFT, PBE-GGA
State: optimized geometry

Energy (eV/cell): -17.18
Symmetry: No. 216

Unit cell a=5.0572 b=5.0572 c=5.0572 alpha=60.00 beta=60.00 gamma=60.00
Atoms (fractional coordinates):
Pb: 0.7500 0.7500 0.7500
Zn: 0.0000 0.0000 0.0000
Pd: 0.5000 0.5000 0.5000
La: 0.2500 0.2500 0.2500

---

Material: BaCa2Au
Method: DFT, PBE-GGA
State: optimized geometry

Energy (eV/cell): -10.73
Symmetry: No. 71

Unit cell a=7.2796 b=7.2796 c=6.0965 alpha=65.22 beta=65.22 gamma=30.79
Atoms (fractional coordinates):
Ca: 0.4380 0.4380 0.5620
Ca: 0.0620 0.0620 0.9380
Ba: 0.2500 0.2500 0.2500
Au: 0.7500 0.7500 0.7500

---

Material: Pm7Ag2Sn2
Method: DFT, PBE-GGA
State: optimized geometry

Energy (eV/cell): -48.21
Symmetry: No. 65

Unit cell a=7.1238 b=7.2807 c=7.1238 alpha=89.99 beta=107.65 gamma=90.01
Atoms (fractional coordinates):
Sn: 0.8250 0.5000 0.8250
Sn: 0.1750 0.5000 0.1750
Ag: 0.2833 0.9998 0.7167
Ag: 0.7167 0.0002 0.2833
Pm: 0.5002 0.7252 0.0002
Pm: 0.9998 0.7252 0.4998
Pm: 0.0002 0.2748 0.5002
Pm: 0.0000 0.0000 0.0000
Pm: 0.4998 0.2748 0.9998
Pm: 0.4999 0.7486 0.5001
Pm: 0.5001 0.2514 0.4999

---

Material: PuNi2B
Method: DFT, PBE-GGA
State: optimized geometry

Energy (eV/cell): -31.92
Symmetry: No. 166

Unit cell a=2.9663 b=2.9663 c=7.6635 alpha=78.84 beta=78.84 gamma=60.00
Last column: magnetic moment on the atom in μB.
Atoms (fractional coordinates):
Pu: 0.0000 0.0000 0.0000  4.96
Ni: 0.8768 0.8768 0.3695  0.03
Ni: 0.1232 0.1232 0.6305  0.03
B: 0.5000 0.5000 0.5000  0.01

---

Material: SrPbCCl2
Method: DFT, PBE-GGA
State: optimized geometry

Energy (eV/cell): -15.65
Symmetry: No. 123
ΔE_f (raw) (eV/atom): 0.53

Unit cell a=5.1688 b=4.8620 c=5.1688 alpha=90.00 beta=90.00 gamma=90.00
Last column: magnetic moment on the atom in μB.
Atoms (fractional coordinates):
C: 0.0000 0.0000 0.0000  0.33
Pb: 0.5000 0.5000 0.5000  -0.08
Cl: 0.0000 0.0000 0.5000  -0.03
Cl: 0.5000 0.0000 0.0000  0.01
Sr: 0.0000 0.5000 0.0000  0.01

---

Material: ScPPt
Method: DFT, PBE-GGA
State: optimized geometry

Energy (eV/cell): -20.13
Symmetry: No. 107

Unit cell a=4.6648 b=4.6648 c=4.6648 alpha=133.88 beta=133.88 gamma=67.28
Atoms (fractional coordinates):
Pt: 0.6819 0.6819 0.0000
Sc: 0.3263 0.3263 0.0000
P: 0.9919 0.9919 0.0000